AcCo4 | PBE | relaxed

extended XYZ file:
```
5
Lattice="4.7675 0.0000 0.0000 0.0000 4.7675 0.0000 0.0000 0.0000 4.7675" Properties=species:S:1:pos:R:3 pbc="T T T"
Ac 2.3838 2.3838 2.3838
Co 0.0000 0.0000 0.0000
Co 2.3838 0.0000 2.3838
Co 0.0000 2.3838 2.3838
Co 2.3838 2.3838 0.0000
```

Output
Formation enthalpy at 0 K in kJ per mole of atoms: 211.39
DOS(E_F) in states/eV per cell: 7.33
Density in g/cm³: 7.09

Ac3Co | PBE | relaxed

extended XYZ file:
```
16
Lattice="-7.0336 -0.4783 -0.6995 0.6209 -7.7203 -0.9649 -0.9924 -1.4509 10.9709" Properties=species:S:1:pos:R:3 pbc="T T T"
Ac -2.4134 -4.7721 1.9637
Ac -6.1769 -8.8393 6.7116
Ac -1.2282 -0.8102 2.5949
Ac -4.9917 -4.8774 7.3428
Ac -1.9271 -3.8436 9.7541
Ac -4.6736 -1.8700 0.1457
Ac -2.3792 -7.2645 5.2661
Ac -5.8303 -6.3210 3.4471
Ac -1.5748 -3.3285 5.8594
Ac -5.0259 -2.3850 4.0404
Ac -5.4780 -5.8059 -0.4476
Ac -2.7315 -7.7796 9.1608
Co -0.4962 -0.7255 5.4855
Co -3.7026 -4.8248 4.6533
Co -3.2063 -4.0993 -0.8322
Co 0.0000 0.0000 0.0000
```

Output
E above lowest polymorph in meV per atom: 0
Formation enthalpy at 0 K in kJ per mole of atoms: 3.40
DOS(E_F) in states/eV per cell: 17.73
Density in g/cm³: 8.00

Ac4Co | PBE | relaxed

extended XYZ file:
```
10
Lattice="-1.2487 5.2257 4.1435 -5.8402 -4.3214 3.6902 1.8562 -4.6752 6.4562" Properties=species:S:1:pos:R:3 pbc="T T T"
Ac -4.2420 -3.5850 11.5775
Ac -2.2731 1.0468 6.6295
Ac -0.9907 -0.1858 2.7124
Ac -3.9112 -2.3452 4.5585
Ac -2.9595 -4.8177 7.6605
Ac -0.1073 -2.3736 6.0400
Ac -1.3215 -1.4256 9.7314
Ac -5.1254 -1.3972 8.2499
Co -2.9201 -2.1607 1.8451
Co -0.6243 2.6129 2.0717
```

Output
E above lowest polymorph in meV per atom: 0
Formation enthalpy at 0 K in kJ per mole of atoms: -0.88
DOS(E_F) in states/eV per cell: 13.64
Density in g/cm³: 8.18

AcCo2 | PBE | relaxed

extended XYZ file:
```
6
Lattice="5.3371 0.0000 0.0000 2.6686 4.6221 0.0000 2.6686 1.5407 4.3578" Properties=species:S:1:pos:R:3 pbc="T T T"
Ac 0.0000 0.0000 0.0000
Ac 2.6686 1.5407 1.0894
Co 4.0029 3.8518 2.7236
Co 5.3371 1.5407 2.7236
Co 6.6714 3.8518 2.7236
Co 5.3371 3.0814 0.5447
```

Output
E above lowest polymorph in meV per atom: 165
Formation enthalpy at 0 K in kJ per mole of atoms: 17.05
DOS(E_F) in states/eV per cell: 11.07
Density in g/cm³: 10.65

What is the density in the fourth record? 10.65 g/cm³

Which formula does entry 4 have? AcCo2

Number 1 is which compound? AcCo4